No. 1
TaSi2P, relaxed, DFT GGA-PBE; formation energy from raw total energies = -0.097 eV/atom; crystal system = monoclinic; symmetry = No. 6; spin magnetization = 0.0 μB/f.u.
1.0
3.271 0.000 0.000
0.000 3.354 -0.010
0.000 2.233 5.453
P Si Ta
1 2 1
direct
0.500 0.859 0.726 P
0.000 0.930 0.023 Si
0.500 0.215 0.240 Si
0.000 0.496 0.512 Ta

***

No. 2
TaSi2P, relaxed, DFT GGA-PBE; formation energy from raw total energies = 0.231 eV/atom; crystal system = tetragonal; symmetry = No. 122; spin magnetization = 0.0 μB/f.u.
1.0
6.921 0.000 0.000
0.000 6.921 0.000
3.461 3.461 2.598
P Si Ta
2 4 2
direct
0.500 0.500 0.000 P
0.250 0.750 0.500 P
0.602 0.125 0.250 Si
0.148 0.625 0.250 Si
0.375 0.398 0.750 Si
0.875 0.852 0.750 Si
0.000 0.000 0.000 Ta
0.750 0.250 0.500 Ta

***

No. 3
Ta2SiP, relaxed, DFT GGA-PBE; formation energy from raw total energies = -0.225 eV/atom; crystal system = monoclinic; symmetry = No. 12; spin magnetization = 0.0 μB/f.u.
1.0
4.676 0.018 -0.018
-3.258 4.903 0.034
0.524 1.220 2.729
P Si Ta
1 1 2
direct
0.500 0.500 0.000 P
0.500 0.000 0.500 Si
0.000 0.000 0.000 Ta
0.000 0.500 0.500 Ta

***

No. 4
Ta2SiP, relaxed, DFT GGA-PBE; formation energy from raw total energies = -0.161 eV/atom; crystal system = trigonal; symmetry = No. 166; spin magnetization = 0.0 μB/f.u.
1.0
8.130 0.016 0.010
7.550 3.016 0.010
7.550 1.460 2.639
P Si Ta
1 1 2
direct
0.250 0.250 0.250 P
0.750 0.750 0.750 Si
0.994 0.994 0.994 Ta
0.506 0.506 0.506 Ta

***

No. 5
Ta2SiP, relaxed, DFT GGA-PBE; formation energy from raw total energies = -0.002 eV/atom; crystal system = orthorhombic; symmetry = No. 35; spin magnetization = 0.0 μB/f.u.
1.0
2.867 -0.002 0.000
-0.744 2.768 0.000
0.000 0.000 8.742
P Si Ta
1 1 2
direct
0.000 0.000 0.469 P
0.500 0.500 0.772 Si
0.000 0.000 0.997 Ta
0.500 0.500 0.262 Ta

***

No. 6
TaSi2P, relaxed, DFT GGA-PBE; formation energy from raw total energies = 0.094 eV/atom; crystal system = trigonal; symmetry = No. 166; spin magnetization = 0.0 μB/f.u.
1.0
7.434 -0.002 -0.001
6.775 3.060 -0.001
6.775 1.458 2.690
P Si Ta
1 2 1
direct
0.250 0.250 0.250 P
0.990 0.990 0.990 Si
0.510 0.510 0.510 Si
0.750 0.750 0.750 Ta

***

No. 7
TaSi2P, relaxed, DFT GGA-PBE; formation energy from raw total energies = 0.033 eV/atom; crystal system = monoclinic; symmetry = No. 8; spin magnetization = 0.0 μB/f.u.
1.0
-4.497 1.238 0.498
-3.987 0.253 -2.459
-1.204 -4.102 1.158
P Si Ta
1 2 1
direct
0.778 0.778 0.695 P
0.985 0.985 0.023 Si
0.237 0.237 0.266 Si
0.501 0.501 0.516 Ta

***

No. 8
Ta2SiP, relaxed, DFT GGA-PBE; formation energy from raw total energies = -0.465 eV/atom; crystal system = tetragonal; symmetry = No. 99; spin magnetization = 0.0 μB/f.u.
1.0
-3.134 -0.719 -1.015
0.943 -3.168 -0.669
-1.327 -1.482 5.146
P Si Ta
1 1 2
direct
0.000 0.000 0.474 P
0.500 0.500 0.772 Si
0.000 0.000 0.967 Ta
0.500 0.500 0.287 Ta